Compound: Pr8NiSn2
Source: Alexandria via LeMat-Bulk
Functional: PBE
Structure: relaxed

Results
Spin magnetization   0.00 μB per formula unit
Formation energy from the elements   -3.606 eV per formula unit
N(E_F)   0.928 states/eV per atom

Lattice parameters (Å, degrees): 5.092 7.077 10.186 103.76 104.47 90.00
Element x y z (fractional)
Pr 0.987 0.216 0.974
Pr 0.408 0.524 0.817
Pr 0.785 0.680 0.570
Pr 0.215 0.320 0.430
Pr 0.013 0.784 0.026
Pr 0.592 0.476 0.183
Pr 0.645 0.001 0.290
Pr 0.355 0.999 0.710
Ni 0.500 0.000 0.000
Sn 0.181 0.756 0.362
Sn 0.819 0.244 0.638